Compound: Mg2VGe2
Source: Alexandria
Functional: PBE-GGA
Structure: relaxed

Calculated values
SG ... P4/mbm, No. 127
D(E_F) ... 0.976 states/eV per atom
Distance to the lowest polymorph of the same formula ... 160.8 kJ/mol of formula units
Uncorrected energy ... -0.148 hartree per atom
Formation enthalpy at 0 K ... 0.279 eV/atom

a = 7.764 Å, b = 7.764 Å, c = 3.146 Å
α = 90.00°, β = 90.00°, γ = 90.00°
Fractional positions:
Ge 0.827 0.327 0.500
Ge 0.173 0.673 0.500
Ge 0.673 0.827 0.500
Ge 0.327 0.173 0.500
Mg 0.129 0.371 0.000
Mg 0.871 0.629 0.000
Mg 0.629 0.129 0.000
Mg 0.371 0.871 0.000
V 0.500 0.500 0.000
V 0.000 0.000 0.000

=====

Compound: Mg2VGe
Source: Alexandria
Functional: PBE-GGA
Structure: relaxed

Calculated values
SG ... I-42d, No. 122
D(E_F) ... 0.743 states/eV per atom
Uncorrected energy ... -0.139 hartree per atom
Formation enthalpy at 0 K ... 0.436 eV/atom

a = 7.731 Å, b = 7.731 Å, c = 6.067 Å
α = 50.42°, β = 50.42°, γ = 90.00°
Fractional positions:
V 0.500 0.500 0.000
V 0.250 0.750 0.500
Ge 0.750 0.250 0.500
Ge 0.000 0.000 0.000
Mg 0.375 0.346 0.750
Mg 0.875 0.904 0.750
Mg 0.654 0.125 0.250
Mg 0.096 0.625 0.250

=====

Compound: Mg2VGe2
Source: Alexandria
Functional: PBE-GGA
Structure: relaxed

Calculated values
SG ... P4/mbm, No. 127
D(E_F) ... 0.545 states/eV per atom
Distance to the lowest polymorph of the same formula ... 0.0 kJ/mol of formula units
Uncorrected energy ... -0.160 hartree per atom
Formation enthalpy at 0 K ... -0.054 eV/atom

a = 6.764 Å, b = 6.764 Å, c = 4.018 Å
α = 90.00°, β = 90.00°, γ = 90.00°
Fractional positions:
Ge 0.866 0.634 0.000
Ge 0.134 0.366 0.000
Ge 0.634 0.134 0.000
Ge 0.366 0.866 0.000
Mg 0.326 0.174 0.500
Mg 0.674 0.826 0.500
Mg 0.174 0.674 0.500
Mg 0.826 0.326 0.500
V 0.500 0.500 0.000
V 0.000 0.000 0.000

=====

Compound: MgZrVGe2
Source: Alexandria
Functional: PBE-GGA
Structure: relaxed

Calculated values
SG ... P4/mmm, No. 123
D(E_F) ... 1.512 states/eV per atom
Uncorrected energy ... -0.161 hartree per atom
Formation enthalpy at 0 K ... 1.328 eV/atom

a = 4.715 Å, b = 5.120 Å, c = 4.715 Å
α = 90.00°, β = 90.00°, γ = 90.00°
Fractional positions:
Ge 0.000 0.000 0.500
Ge 0.500 0.000 0.000
V 0.500 0.500 0.500
Mg 0.000 0.000 0.000
Zr 0.000 0.500 0.000

=====

Compound: MgGe2W2
Source: Alexandria
Functional: PBE-GGA
Structure: relaxed

Calculated values
SG ... I4/mmm, No. 139
D(E_F) ... 0.629 states/eV per atom
Distance to the lowest polymorph of the same formula ... 5.4 kJ/mol of formula units
Uncorrected energy ... -0.261 hartree per atom
Formation enthalpy at 0 K ... 0.244 eV/atom

a = 4.010 Å, b = 4.010 Å, c = 6.326 Å
α = 71.52°, β = 71.52°, γ = 90.00°
Fractional positions:
Ge 0.394 0.394 0.211
Ge 0.606 0.606 0.789
Mg 0.000 0.000 0.000
W 0.250 0.750 0.500
W 0.750 0.250 0.500

=====

Compound: MgGe3W
Source: Alexandria
Functional: PBE-GGA
Structure: relaxed

Calculated values
SG ... Pm-3m, No. 221
D(E_F) ... 0.308 states/eV per atom
Distance to the lowest polymorph of the same formula ... 0.0 kJ/mol of formula units
Uncorrected energy ... -0.194 hartree per atom
Formation enthalpy at 0 K ... 0.403 eV/atom

a = 4.941 Å, b = 4.941 Å, c = 4.941 Å
α = 90.00°, β = 90.00°, γ = 90.00°
Fractional positions:
W 0.000 0.000 0.000
Ge 0.000 0.000 0.500
Ge 0.000 0.500 0.000
Ge 0.500 0.000 0.000
Mg 0.500 0.500 0.500

=====

Compound: MgGe2W2
Source: Alexandria
Functional: PBE-GGA
Structure: relaxed

Calculated values
SG ... P4/mbm, No. 127
D(E_F) ... 0.331 states/eV per atom
Distance to the lowest polymorph of the same formula ... 0.0 kJ/mol of formula units
Uncorrected energy ... -0.261 hartree per atom
Formation enthalpy at 0 K ... 0.232 eV/atom

a = 7.065 Å, b = 7.065 Å, c = 3.260 Å
α = 90.00°, β = 90.00°, γ = 90.00°
Fractional positions:
Ge 0.144 0.356 0.000
Ge 0.856 0.644 0.000
Ge 0.644 0.144 0.000
Ge 0.356 0.856 0.000
W 0.851 0.351 0.500
W 0.149 0.649 0.500
W 0.649 0.851 0.500
W 0.351 0.149 0.500
Mg 0.500 0.500 0.000
Mg 0.000 0.000 0.000

=====

Compound: MgGeW
Source: Alexandria
Functional: PBE-GGA
Structure: relaxed

Calculated values
SG ... R-3m, No. 166
D(E_F) ... 0.782 states/eV per atom
Uncorrected energy ... -0.222 hartree per atom
Formation enthalpy at 0 K ... 0.338 eV/atom

a = 4.297 Å, b = 4.297 Å, c = 7.337 Å
α = 72.97°, β = 72.97°, γ = 60.00°
Fractional positions:
Mg 0.133 0.133 0.602
Mg 0.867 0.867 0.398
Ge 0.590 0.590 0.231
Ge 0.410 0.410 0.769
W 0.287 0.287 0.138
W 0.713 0.713 0.862

=====

Compound: MgGeW2
Source: Alexandria
Functional: PBE-GGA
Structure: relaxed

Calculated values
SG ... I-42d, No. 122
D(E_F) ... 0.491 states/eV per atom
Distance to the lowest polymorph of the same formula ... 33.3 kJ/mol of formula units
Uncorrected energy ... -0.264 hartree per atom
Formation enthalpy at 0 K ... 0.852 eV/atom

a = 7.496 Å, b = 7.496 Å, c = 5.895 Å
α = 50.52°, β = 50.52°, γ = 90.00°
Fractional positions:
W 0.375 0.329 0.750
W 0.671 0.125 0.250
W 0.079 0.625 0.250
W 0.875 0.921 0.750
Mg 0.500 0.500 0.000
Mg 0.250 0.750 0.500
Ge 0.000 0.000 0.000
Ge 0.750 0.250 0.500

=====

Compound: MgGeW3
Source: Alexandria
Functional: PBE-GGA
Structure: relaxed

Calculated values
SG ... Pm-3m, No. 221
D(E_F) ... 1.043 states/eV per atom
Distance to the lowest polymorph of the same formula ... 0.0 kJ/mol of formula units
Uncorrected energy ... -0.273 hartree per atom
Formation enthalpy at 0 K ... 1.587 eV/atom

a = 4.645 Å, b = 4.645 Å, c = 4.645 Å
α = 90.00°, β = 90.00°, γ = 90.00°
Fractional positions:
W 0.500 0.000 0.000
W 0.000 0.000 0.500
W 0.000 0.500 0.000
Ge 0.000 0.000 0.000
Mg 0.500 0.500 0.500

=====

Compound: MgGeW3
Source: Alexandria
Functional: PBE-GGA
Structure: relaxed

Calculated values
SG ... Pm-3m, No. 221
D(E_F) ... 1.289 states/eV per atom
Distance to the lowest polymorph of the same formula ... 484.5 kJ/mol of formula units
Uncorrected energy ... -0.236 hartree per atom
Formation enthalpy at 0 K ... 2.592 eV/atom

a = 4.586 Å, b = 4.586 Å, c = 4.586 Å
α = 90.00°, β = 90.00°, γ = 90.00°
Fractional positions:
Mg 0.000 0.000 0.000
Ge 0.500 0.500 0.500
W 0.000 0.500 0.000
W 0.500 0.000 0.000
W 0.000 0.000 0.500

=====

Compound: MgGeW2
Source: Alexandria
Functional: PBE-GGA
Structure: relaxed

Calculated values
SG ... Fm-3m, No. 225
D(E_F) ... 1.304 states/eV per atom
Distance to the lowest polymorph of the same formula ... 0.0 kJ/mol of formula units
Uncorrected energy ... -0.267 hartree per atom
Formation enthalpy at 0 K ... 0.765 eV/atom

a = 4.481 Å, b = 4.481 Å, c = 4.481 Å
α = 60.00°, β = 60.00°, γ = 60.00°
Fractional positions:
W 0.750 0.750 0.750
W 0.250 0.250 0.250
Mg 0.000 0.000 0.000
Ge 0.500 0.500 0.500

=====

Compound: YMgGe4
Source: Alexandria
Functional: PBE-GGA
Structure: relaxed

Calculated values
SG ... F-43m, No. 216
D(E_F) ... 0.543 states/eV per atom
Uncorrected energy ... -0.170 hartree per atom
Formation enthalpy at 0 K ... -0.192 eV/atom

a = 5.592 Å, b = 5.592 Å, c = 5.592 Å
α = 60.00°, β = 60.00°, γ = 60.00°
Fractional positions:
Ge 0.624 0.624 0.127
Ge 0.127 0.624 0.624
Ge 0.624 0.624 0.624
Ge 0.624 0.127 0.624
Y 0.000 0.000 0.000
Mg 0.250 0.250 0.250

=====

Compound: YMgGe2
Source: Alexandria
Functional: PBE-GGA
Structure: relaxed

Calculated values
SG ... P4/mmm, No. 123
D(E_F) ... 0.618 states/eV per atom
Uncorrected energy ... -0.177 hartree per atom
Formation enthalpy at 0 K ... -0.481 eV/atom

a = 4.079 Å, b = 4.499 Å, c = 4.499 Å
α = 90.00°, β = 90.00°, γ = 90.00°
Fractional positions:
Ge 0.000 0.000 0.500
Ge 0.000 0.500 0.000
Y 0.500 0.500 0.500
Mg 0.500 0.000 0.000

=====

So what do the calculations give for V? Going down the list: 190, 157, 184, 114, 91, 121, 163, 110, 145, 100, 96, 64, 124, 83 Å³ per cell.